4
Lattice="-2.095 2.095 2.953 2.095 -2.095 2.953 2.095 2.095 -2.953" Properties=species:S:1:pos:R:3 comment="LiCr2W (PBE, relaxed)" space_group=I-4m2 de_polymorph_ev_per_atom=0.1483 pbc="T T T"
Li 0.000 0.000 0.000
Cr 2.095 0.000 1.477
Cr 0.000 0.000 2.953
W 0.000 2.095 1.477

5
Lattice="4.761 0.000 0.000 0.000 4.761 0.000 0.000 0.000 4.761" Properties=species:S:1:pos:R:3 comment="LiCr3W (PBE, relaxed)" space_group=Pm-3m pbc="T T T"
Li 0.000 0.000 0.000
Cr 0.000 2.380 2.380
Cr 2.380 0.000 2.380
Cr 2.380 2.380 0.000
W 2.380 2.380 2.380

4
Lattice="-1.552 2.196 4.244 1.552 -2.196 4.244 1.552 2.196 -4.244" Properties=species:S:1:pos:R:3 comment="LiCrW2 (PBE, relaxed)" space_group=Immm de_polymorph_ev_per_atom=0.1375 pbc="T T T"
Li 0.000 0.000 0.000
Cr 0.000 0.000 4.244
W 1.552 0.000 2.264
W 0.000 2.196 1.980

6
Lattice="0.000 3.448 3.448 3.448 0.000 3.448 3.448 3.448 0.000" Properties=species:S:1:pos:R:3 comment="Li4CrW (PBE, relaxed)" space_group=F-43m pbc="T T T"
Li 0.862 0.862 0.862
Li 2.586 2.586 0.862
Li 2.586 0.862 2.586
Li 0.862 2.586 2.586
Cr 3.448 3.448 3.448
W 5.173 5.173 5.173

4
Lattice="1.509 -2.196 0.000 1.509 2.196 0.000 0.000 0.000 9.044" Properties=species:S:1:pos:R:3 comment="LiCrW2 (PBE, relaxed)" space_group=Cmmm de_polymorph_ev_per_atom=0.0000 pbc="T T T"
Li 0.000 0.000 0.000
Cr 0.000 0.000 4.522
W 1.509 0.000 2.431
W 1.509 0.000 6.613

4
Lattice="1.314 0.758 9.474 -1.314 0.758 9.474 0.000 -1.517 9.474" Properties=species:S:1:pos:R:3 comment="LiCr2W (PBE, relaxed)" space_group=R-3m de_polymorph_ev_per_atom=0.2558 pbc="T T T"
Li 0.000 0.000 0.000
Cr 0.000 0.000 7.092
Cr 0.000 0.000 21.330
W 0.000 0.000 14.211

3
Lattice="0.000 2.895 2.895 2.895 0.000 2.895 2.895 2.895 0.000" Properties=species:S:1:pos:R:3 comment="LiCrW (PBE, relaxed)" space_group=F-43m de_polymorph_ev_per_atom=0.8205 pbc="T T T"
Li 0.000 0.000 0.000
Cr 1.447 1.447 1.447
W 2.895 2.895 2.895

3
Lattice="0.000 2.155 6.783 1.505 0.000 6.783 1.505 2.155 0.000" Properties=species:S:1:pos:R:3 comment="LiCrW (PBE, relaxed)" space_group=Fmm2 de_polymorph_ev_per_atom=0.0000 pbc="T T T"
Li 0.000 0.000 0.000
Cr 1.505 2.155 9.068
W 1.505 2.155 4.342

4
Lattice="2.704 -4.291 0.000 2.704 4.291 0.000 -0.854 0.000 2.463" Properties=species:S:1:pos:R:3 comment="LiCrW2 (PBE, relaxed)" space_group=C2/m de_polymorph_ev_per_atom=0.0891 pbc="T T T"
Li 0.000 0.000 0.000
Cr 2.704 0.000 0.000
W 0.925 2.146 1.232
W 0.925 -2.146 1.232

5
Lattice="4.628 0.000 0.000 0.000 4.628 0.000 0.000 0.000 4.159" Properties=species:S:1:pos:R:3 comment="LiZr2CrW (PBE, relaxed)" space_group=P4/mmm pbc="T T T"
Li 0.000 0.000 0.000
Zr 0.000 2.314 0.000
Zr 2.314 0.000 0.000
Cr 2.314 2.314 2.080
W 0.000 0.000 2.080

3
Lattice="0.000 3.430 3.430 3.430 0.000 3.430 3.430 3.430 0.000" Properties=species:S:1:pos:R:3 comment="LiYCr (PBE, relaxed)" space_group=F-43m de_polymorph_ev_per_atom=0.6112 pbc="T T T"
Li 0.000 0.000 0.000
Y 1.715 1.715 1.715
Cr 3.430 3.430 3.430

6
Lattice="0.000 4.533 4.533 4.533 0.000 4.533 4.533 4.533 0.000" Properties=species:S:1:pos:R:3 comment="LiY4Cr (PBE, relaxed)" space_group=F-43m pbc="T T T"
Li 0.000 0.000 0.000
Y 5.658 3.408 3.408
Y 3.408 5.658 3.408
Y 3.408 3.408 5.658
Y 5.658 5.658 5.658
Cr 2.267 2.267 2.267

4
Lattice="3.174 0.000 0.000 0.000 5.095 0.000 -0.654 0.000 5.332" Properties=species:S:1:pos:R:3 comment="Li2YCr (PBE, relaxed)" space_group=P2/m de_polymorph_ev_per_atom=0.0775 pbc="T T T"
Li 0.450 0.000 1.516
Li 2.070 0.000 3.815
Y 1.587 2.547 0.000
Cr -0.327 2.547 2.666

5
Lattice="4.680 0.000 0.000 0.000 4.680 0.000 0.000 0.000 4.680" Properties=species:S:1:pos:R:3 comment="Li3YCr (PBE, relaxed)" space_group=Pm-3m de_polymorph_ev_per_atom=1.2563 pbc="T T T"
Li 0.000 0.000 2.340
Li 0.000 2.340 0.000
Li 2.340 0.000 0.000
Y 0.000 0.000 0.000
Cr 2.340 2.340 2.340

4
Lattice="3.359 0.000 0.000 0.000 3.387 0.000 0.000 0.000 6.062" Properties=species:S:1:pos:R:3 comment="LiYCr2 (PBE, relaxed)" space_group=Pmmm de_polymorph_ev_per_atom=0.2564 pbc="T T T"
Li 0.000 0.000 0.000
Y 0.000 0.000 3.031
Cr 1.680 1.694 0.925
Cr 1.680 1.694 5.137

5
Lattice="4.836 0.000 0.000 0.000 4.836 0.000 0.000 0.000 4.836" Properties=species:S:1:pos:R:3 comment="Li3YCr (PBE, relaxed)" space_group=Pm-3m de_polymorph_ev_per_atom=0.0000 pbc="T T T"
Li 0.000 0.000 2.418
Li 0.000 2.418 0.000
Li 2.418 0.000 0.000
Y 2.418 2.418 2.418
Cr 0.000 0.000 0.000

4
Lattice="0.000 3.434 3.434 3.434 0.000 3.434 3.434 3.434 0.000" Properties=species:S:1:pos:R:3 comment="Li2YCr (PBE, relaxed)" space_group=Fm-3m de_polymorph_ev_per_atom=0.0807 pbc="T T T"
Li 1.717 1.717 1.717
Li 5.152 5.152 5.152
Y 0.000 0.000 0.000
Cr 3.434 3.434 3.434

4
Lattice="1.569 -2.438 0.000 1.569 2.438 0.000 0.000 0.000 9.242" Properties=species:S:1:pos:R:3 comment="LiYCr2 (PBE, relaxed)" space_group=Cmm2 de_polymorph_ev_per_atom=0.2025 pbc="T T T"
Li 0.000 0.000 0.000
Y 1.569 0.000 2.969
Cr 0.000 0.000 5.461
Cr 1.569 0.000 6.966

5
Lattice="-1.695 1.695 7.189 1.695 -1.695 7.189 1.695 1.695 -7.189" Properties=species:S:1:pos:R:3 comment="Li2YCr2 (PBE, relaxed)" space_group=I4/mmm de_polymorph_ev_per_atom=0.0082 pbc="T T T"
Li 0.000 0.000 1.648
Li 0.000 0.000 12.731
Y 0.000 0.000 7.189
Cr 1.695 0.000 3.595
Cr 0.000 1.695 3.595

4
Lattice="2.151 1.242 4.823 -2.151 1.242 4.823 0.000 -2.484 4.823" Properties=species:S:1:pos:R:3 comment="LiYCr2 (PBE, relaxed)" space_group=R3m de_polymorph_ev_per_atom=0.0159 pbc="T T T"
Li 0.000 0.000 0.000
Y 0.000 0.000 3.145
Cr 0.000 0.000 6.241
Cr 0.000 0.000 10.762

no.,final energy (eV per atom)
1,-8.042
2,-7.367
3,-8.891
4,-4.400
5,-9.029
6,-7.935
7,-6.901
8,-7.721
9,-8.940
10,-6.973
11,-4.971
12,-5.538
13,-4.573
14,-2.486
15,-6.289
16,-3.742
17,-4.569
18,-6.343
19,-5.214
20,-6.529